1.
First-principles (PBE) data for an optimized crystal structure of TaReAg2, as listed in the Alexandria database.

Calculated values
- Energy above the lowest structure with this stoichiometry: 165 meV per atom
- SG: C2/m (12)
- N(E_F): 2.5 states/eV per cell
- Formation enthalpy at 0 K: 0.39 eV/atom

Structure (POSCAR):
```
TaReAg2
1.0
5.2472 0.0059 -0.0161
4.4289 2.8139 -0.0161
0.8319 0.2424 4.5841
Ag Re Ta
2 1 1
Direct
0.4968 0.4968 0.5027
0.0032 0.0032 0.9973
0.7500 0.7500 0.7500
0.2500 0.2500 0.2500
```

=====

2.
First-principles (PBE) data for an optimized crystal structure of SmPd2Pb3, as listed in the Alexandria database.

Calculated values
- SG: Pmc2_1 (26)
- N(E_F): 5.7 states/eV per cell
- Formation enthalpy at 0 K: -0.42 eV/atom

Structure (POSCAR):
```
SmPd2Pb3
1.0
-0.4154 -4.4721 -0.1131
1.8764 -0.3586 7.2877
-8.3653 0.7216 2.1893
Pd Sm Pb
4 2 6
Direct
0.5000 0.2540 0.1484
0.5000 0.7540 0.8516
0.0000 0.7375 0.3666
0.0000 0.2375 0.6334
0.5000 0.0223 0.4349
0.5000 0.5223 0.5651
0.0000 0.3467 0.3221
0.0000 0.9880 0.0897
0.5000 0.1516 0.8307
0.0000 0.4880 0.9103
0.5000 0.6516 0.1693
0.0000 0.8467 0.6779
```

=====

3.
First-principles (PBE) data for an optimized crystal structure of CdTcSb2Ir, as listed in the Alexandria database.

Calculated values
- Raw formation energy: 1.03 eV/atom
- SG: P4/mmm (123)
- N(E_F): 5.4 states/eV per cell

Structure (POSCAR):
```
CdTcSb2Ir
1.0
-4.0548 2.9430 0.9834
-1.6117 -0.6131 -4.8103
-2.6524 -4.1272 1.4147
Sb Ir Tc Cd
2 1 1 1
Direct
0.0000 0.0000 0.5000
0.5000 0.0000 0.0000
0.0000 0.0000 0.0000
0.5000 0.5000 0.5000
0.0000 0.5000 0.0000
```

=====

4.
First-principles (PBE) data for an optimized crystal structure of Nd5Y3P8, as listed in the Alexandria database.

Calculated values
- SG: R-3m (166)
- N(E_F): 2.3 states/eV per cell
- Formation enthalpy at 0 K: -1.56 eV/atom

Structure (POSCAR):
```
Nd5Y3P8
1.0
7.1192 -4.1117 -0.0207
7.1192 4.1117 -0.0207
4.7640 0.0000 6.7003
Nd P Y
5 8 3
Direct
0.5000 0.0000 0.5000
0.5000 0.5000 0.5000
0.0000 0.5000 0.5000
0.0000 0.0000 0.0000
0.5000 0.5000 0.0000
0.2440 0.7500 0.7500
0.2471 0.2471 0.2471
0.7500 0.7500 0.2440
0.7529 0.7529 0.7529
0.7500 0.2440 0.7500
0.7560 0.2500 0.2500
0.2500 0.2500 0.7560
0.2500 0.7560 0.2500
0.0000 0.0000 0.5000
0.5000 0.0000 0.0000
0.0000 0.5000 0.0000
```

=====

5.
First-principles (PBE) data for an optimized crystal structure of Ac3La6Dy2, as listed in the Alexandria database.

Calculated values
- SG: R-3m (166)
- N(E_F): 19.8 states/eV per cell
- Formation enthalpy at 0 K: 0.04 eV/atom

Structure (POSCAR):
```
Ac3La6Dy2
1.0
3.7796 0.0000 0.2319
1.8827 3.2773 0.2319
-0.1811 -0.1048 33.8743
Ac La Dy
3 6 2
Direct
0.2708 0.2708 0.1876
0.0000 0.0000 0.0000
0.7292 0.7292 0.8124
0.3646 0.3646 0.9063
0.8182 0.8182 0.5454
0.6354 0.6354 0.0937
0.0941 0.0941 0.7178
0.9059 0.9059 0.2822
0.1818 0.1818 0.4546
0.4561 0.4561 0.6318
0.5439 0.5439 0.3682
```

=====

6.
First-principles (PBE) data for an optimized crystal structure of Zr3AuO, as listed in the Alexandria database.

Calculated values
- Raw formation energy: -1.23 eV/atom
- SG: Pm-3m (221)
- N(E_F): 5.2 states/eV per cell

Structure (POSCAR):
```
Zr3AuO
1.0
4.4616 0.0000 0.0000
0.0000 4.4616 0.0000
0.0000 0.0000 4.4616
Zr O Au
3 1 1
Direct
0.0000 0.0000 0.5000
0.0000 0.5000 0.0000
0.5000 0.0000 0.0000
0.0000 0.0000 0.0000
0.5000 0.5000 0.5000
```

=====

7.
First-principles (PBE) data for an optimized crystal structure of ScTcPb2, as listed in the Alexandria database.

Calculated values
- Energy above the lowest structure with this stoichiometry: 130 meV per atom
- SG: P4/mmm (123)
- N(E_F): 4.1 states/eV per cell
- Formation enthalpy at 0 K: 0.20 eV/atom

Structure (POSCAR):
```
ScTcPb2
1.0
3.4569 0.0000 0.0000
0.0000 3.4574 0.0000
0.0000 0.0000 7.1927
Tc Pb Sc
1 2 1
Direct
0.5000 0.5000 0.7500
0.0000 0.0000 0.5267
0.0000 0.0000 0.9733
0.5000 0.5000 0.2500
```

=====

8.
First-principles (PBE) data for an optimized crystal structure of Ag2Pt, as listed in the Alexandria database.

Calculated values
- Energy above the lowest structure with this stoichiometry: 44 meV per atom
- SG: Pnma (62)
- N(E_F): 4.6 states/eV per cell
- Formation enthalpy at 0 K: 0.03 eV/atom

Structure (POSCAR):
```
Ag2Pt
1.0
5.7368 0.0000 0.0000
0.0000 4.1059 0.0000
0.0000 0.0000 8.6460
Ag Pt
8 4
Direct
0.1216 0.2500 0.5851
0.6292 0.2500 0.2493
0.1292 0.2500 0.2507
0.3784 0.7500 0.0851
0.8784 0.7500 0.4149
0.8708 0.7500 0.7493
0.6216 0.2500 0.9149
0.3708 0.7500 0.7507
0.3835 0.7500 0.4217
0.1165 0.2500 0.9217
0.6165 0.2500 0.5783
0.8835 0.7500 0.0783
```

=====

9.
First-principles (PBE) data for an optimized crystal structure of Tl2InCuI5, as listed in the Alexandria database.

Calculated values
- Raw formation energy: -0.43 eV/atom
- SG: Cmc2_1 (36)
- N(E_F): 8.5 states/eV per cell

Structure (POSCAR):
```
Tl2InCuI5
1.0
4.6216 0.0000 0.0000
-2.3108 10.9300 0.0000
0.0000 0.0000 14.3234
I Tl In Cu
10 4 2 2
Direct
0.7038 0.4077 0.8006
0.0402 0.0804 0.0592
0.9598 0.9196 0.5592
0.4969 0.9938 0.2932
0.2982 0.5963 0.6160
0.2962 0.5923 0.3006
0.7018 0.4037 0.1160
0.3509 0.7017 0.9973
0.5031 0.0062 0.7932
0.6491 0.2983 0.4973
0.1058 0.2116 0.6709
0.8942 0.7884 0.1709
0.8771 0.7541 0.8127
0.1229 0.2459 0.3127
0.4007 0.8014 0.4517
0.5993 0.1986 0.9517
0.2633 0.5265 0.1223
0.7367 0.4735 0.6223
```

=====

10.
First-principles (PBE) data for an optimized crystal structure of TlAgOs2, as listed in the Alexandria database.

Calculated values
- Energy above the lowest structure with this stoichiometry: 601 meV per atom
- SG: Cmmm (65)
- N(E_F): 4.6 states/eV per cell
- Formation enthalpy at 0 K: 1.11 eV/atom

Structure (POSCAR):
```
TlAgOs2
1.0
2.8455 -0.0110 0.0000
-1.3661 2.4961 0.0000
0.0000 0.0000 9.7476
Os Tl Ag
2 1 1
Direct
0.0000 0.0000 0.9965
0.0000 0.0000 0.5035
0.5000 0.5000 0.2500
0.5000 0.5000 0.7500
```

=====

11.
First-principles (PBE) data for an optimized crystal structure of LiYCuIr, as listed in the Alexandria database.

Calculated values
- SG: F-43m (216)
- N(E_F): 1.0 states/eV per cell
- Formation enthalpy at 0 K: -0.27 eV/atom

Structure (POSCAR):
```
LiYCuIr
1.0
4.6223 0.0000 0.0000
2.3111 4.0030 0.0000
2.3111 1.3343 3.7741
Ir Li Cu Y
1 1 1 1
Direct
0.0000 0.0000 0.0000
0.2500 0.2500 0.2500
0.5000 0.5000 0.5000
0.7500 0.7500 0.7500
```

=====

12.
First-principles (PBE) data for an optimized crystal structure of Nb4VGa, as listed in the Alexandria database.

Calculated values
- SG: C2/c (15)
- N(E_F): 11.0 states/eV per cell
- Formation enthalpy at 0 K: 0.06 eV/atom

Structure (POSCAR):
```
Nb4VGa
1.0
-3.0508 -3.9996 -1.5771
6.3564 -0.1690 -3.8598
0.6784 -1.2656 6.7042
Nb Ga V
8 2 2
Direct
0.3646 0.9295 0.6279
0.9409 0.7917 0.1897
0.7488 0.3980 0.1897
0.6354 0.0705 0.3721
0.0591 0.2083 0.8103
0.2512 0.6020 0.8103
0.7633 0.6984 0.6279
0.2367 0.3016 0.3721
0.6354 0.3854 0.7708
0.3646 0.6146 0.2292
0.2509 0.0009 0.0017
0.7491 0.9991 0.9983
```

=====

- Which value of N(E_F) does entry 12 give?
  11.0 states/eV per cell